# CaHfPd2 PBE relaxed
data_CaHfPd2
_chemical_formula_sum 'Ca4 Hf4 Pd8'
_space_group_name_H-M_alt 'F m -3 m'
_space_group_IT_number 225
_space_group_name_Hall '-F 4 2 3'
_cell_length_a 6.791
_cell_length_b 6.791
_cell_length_c 6.791
_cell_angle_alpha 90.00
_cell_angle_beta 90.00
_cell_angle_gamma 90.00
loop_
_atom_site_label
_atom_site_fract_x
_atom_site_fract_y
_atom_site_fract_z
Ca1 0.000 0.000 0.000
Hf1 0.000 0.000 0.500
Pd1 0.250 0.250 0.250
# E_form ... -0.55 eV/atom
# Energy above the most stable polymorph in this dataset ... 162 meV per atom
# N(E_F) ... 11.53 states/eV per cell